Compound: Sm5SeS5
Source: the Alexandria database
Functional: GGA-PBE
Structure: relaxed

Unit cell a=6.982 b=6.982 c=8.078 alpha=106.58 beta=106.58 gamma=48.16
Atoms (fractional coordinates):
Sm: 0.000 0.000 0.000
Sm: 0.332 0.332 0.657
Sm: 0.338 0.338 0.179
Sm: 0.662 0.662 0.821
Sm: 0.668 0.668 0.343
Se: 0.500 0.500 0.000
S: 0.166 0.166 0.332
S: 0.172 0.172 0.841
S: 0.500 0.500 0.500
S: 0.828 0.828 0.159
S: 0.834 0.834 0.668

Total DFT energy (no corrections) = -6.35 eV/atom
ΔE_f (raw) = -2009 meV/atom
Calculated volume = 279 Å³ per cell